No. 1
Er3ZnCd2: optimized geometry, PBE.

**DFT formation energy**: -313 meV/atom
**Total DFT energy (no corrections)**: -3.112 eV/atom
**Crystal system**: trigonal
**M_tot**: 0.00 μB/cell

Lattice parameters (Å, degrees): 5.1682 5.1682 12.7050 90.00 90.00 120.00
Space group P-3m1 (No. 164)
Asymmetric unit:
Er  0.0000  0.0000  0.2443 (multiplicity 2)
Er  0.3333  0.6667  0.4104 (multiplicity 2)
Er  0.3333  0.6667  0.9167 (multiplicity 2)
Zn  0.3333  0.6667  0.1647 (multiplicity 2)
Cd  0.0000  0.0000  0.0000 (multiplicity 1)
Cd  0.0000  0.0000  0.5000 (multiplicity 1)
Cd  0.3333  0.6667  0.6663 (multiplicity 2)



No. 2
Er2ZnCd: optimized geometry, PBE.

**DFT formation energy**: -333 meV/atom
**Total DFT energy (no corrections)**: -3.161 eV/atom
**Crystal system**: tetragonal
**M_tot**: 0.00 μB/cell

Lattice parameters (Å, degrees): 3.5633 3.5633 7.4972 90.00 90.00 90.00
Space group P4/mmm (No. 123)
Asymmetric unit:
Er  0.0000  0.0000  0.2305 (multiplicity 2)
Zn  0.5000  0.5000  0.0000 (multiplicity 1)
Cd  0.5000  0.5000  0.5000 (multiplicity 1)



No. 3
Er2ZnCd2: optimized geometry, PBE.

**DFT formation energy**: -209 meV/atom
**Total DFT energy (no corrections)**: -2.655 eV/atom
**Crystal system**: orthorhombic
**M_tot**: 0.00 μB/cell

Lattice parameters (Å, degrees): 3.4951 20.3702 3.4436 90.00 90.00 90.00
Space group Cmmm (No. 65)
Asymmetric unit:
Er  0.0000  0.0868  0.0000 (multiplicity 4)
Zn  0.0000  0.5000  0.5000 (multiplicity 2)
Cd  0.0000  0.3084  0.5000 (multiplicity 4)



No. 4
ErZnCd: optimized geometry, PBE.

**DFT formation energy**: -318 meV/atom
**Total DFT energy (no corrections)**: -2.569 eV/atom
**Crystal system**: orthorhombic
**M_tot**: 0.00 μB/cell

Lattice parameters (Å, degrees): 4.6890 3.4488 8.1880 90.00 90.00 90.00
Space group Pmma (No. 51)
Asymmetric unit:
Er  0.2500  0.0000  0.2287 (multiplicity 2)
Zn  0.2500  0.5000  0.9238 (multiplicity 2)
Cd  0.2500  0.5000  0.5919 (multiplicity 2)



No. 5
Er3Zn8Cd: optimized geometry, PBE.

**DFT formation energy**: -276 meV/atom
**Total DFT energy (no corrections)**: -2.343 eV/atom
**Crystal system**: trigonal
**M_tot**: 0.00 μB/cell

Lattice parameters (Å, degrees): 5.3989 5.3989 26.3857 90.00 90.00 120.00
Space group R3m (No. 160, hexagonal axes)
Asymmetric unit:
Er  0.0000  0.0000  0.0000 (multiplicity 3)
Er  0.0000  0.0000  0.1255 (multiplicity 3)
Er  0.0000  0.0000  0.6182 (multiplicity 3)
Zn  0.0000  0.0000  0.3107 (multiplicity 3)
Zn  0.0000  0.0000  0.8101 (multiplicity 3)
Zn  0.1676  0.3352  0.8947 (multiplicity 9)
Zn  0.1687  0.3374  0.3931 (multiplicity 9)
Cd  0.0000  0.0000  0.4953 (multiplicity 3)



No. 6
Er4ZnCd3: optimized geometry, PBE.

**DFT formation energy**: -320 meV/atom
**Total DFT energy (no corrections)**: -3.104 eV/atom
**Crystal system**: tetragonal
**M_tot**: 0.00 μB/cell

Lattice parameters (Å, degrees): 3.6420 3.6420 14.8916 90.00 90.00 90.00
Space group P4/mmm (No. 123)
Asymmetric unit:
Er  0.0000  0.0000  0.1139 (multiplicity 2)
Er  0.0000  0.0000  0.3718 (multiplicity 2)
Zn  0.5000  0.5000  0.0000 (multiplicity 1)
Cd  0.5000  0.5000  0.2437 (multiplicity 2)
Cd  0.5000  0.5000  0.5000 (multiplicity 1)